A plane-wave DFT calculation with PBE-GGA was carried out for an optimized crystal structure of Tb2MnNbN5.

```
Tb2MnNbN5
1.0
-2.645 -1.554 -1.026
5.303 -4.251 -2.131
-0.462 -4.872 8.567
Tb Mn Nb N
4 2 2 10
direct
0.871 0.743 0.822
0.117 0.233 0.691
0.129 0.257 0.322
0.883 0.767 0.191
0.546 0.092 0.945
0.454 0.908 0.445
0.792 0.585 0.523
0.208 0.415 0.023
0.346 0.692 0.006
0.677 0.353 0.875
0.498 0.997 0.779
0.299 0.598 0.664
0.968 0.936 0.520
0.654 0.308 0.506
0.323 0.647 0.375
0.502 0.003 0.279
0.701 0.402 0.164
0.032 0.064 0.020
```

Results
- Formation energy (no corrections): -1.03 eV per atom
- Space group: Cmc2_1, No. 36